No. 1
Crystalline PaInPd2 at its relaxed geometry. Source: the Alexandria database, functional PBE-GGA.

a = 5.1923 Å, b = 5.6985 Å, c = 11.2585 Å
α = 90.00°, β = 90.00°, γ = 90.00°
Element x y z (fractional)
Pa 0.7500 0.5214 0.6439
Pa 0.2500 0.9786 0.1439
Pa 0.2500 0.4786 0.3561
Pa 0.7500 0.0214 0.8561
In 0.7500 0.8322 0.3510
In 0.2500 0.6678 0.8510
In 0.2500 0.1678 0.6490
In 0.7500 0.3322 0.1490
Pd 0.7500 0.0052 0.5931
Pd 0.2500 0.4948 0.0931
Pd 0.2500 0.9948 0.4069
Pd 0.7500 0.5052 0.9069
Pd 0.7500 0.8164 0.0993
Pd 0.2500 0.6836 0.5993
Pd 0.2500 0.1836 0.9007
Pd 0.7500 0.3164 0.4007

Properties
Total magnetization   0.00 μB per atom
DOS at the Fermi energy   10.26 states/eV per cell
Calculated formation energy   -0.47 eV per atom

No. 2
Crystalline Sm2U2PaRu5 at its relaxed geometry. Source: the Alexandria database, functional PBE-GGA.

a = 3.6279 Å, b = 10.5674 Å, c = 10.5674 Å
α = 90.00°, β = 90.00°, γ = 90.00°
Element x y z (fractional)
Sm 0.0000 0.6771 0.1771
Sm 0.0000 0.3229 0.8229
Sm 0.0000 0.1771 0.3229
Sm 0.0000 0.8229 0.6771
U 0.0000 0.1335 0.6335
U 0.0000 0.8665 0.3665
U 0.0000 0.6335 0.8665
U 0.0000 0.3665 0.1335
Pa 0.0000 0.0000 0.0000
Pa 0.0000 0.5000 0.5000
Ru 0.5000 0.1994 0.0512
Ru 0.5000 0.8006 0.9488
Ru 0.5000 0.0512 0.8006
Ru 0.5000 0.6994 0.4488
Ru 0.5000 0.9488 0.1994
Ru 0.5000 0.3006 0.5512
Ru 0.5000 0.5512 0.6994
Ru 0.5000 0.4488 0.3006
Ru 0.5000 0.5000 0.0000
Ru 0.5000 0.0000 0.5000

Properties
Total magnetization   0.00 μB per atom
DOS at the Fermi energy   21.01 states/eV per cell
Calculated formation energy   -0.30 eV per atom

No. 3
Crystalline Cr2CuAsOs at its relaxed geometry. Source: the Alexandria database, functional PBE-GGA.

a = 4.4293 Å, b = 4.2735 Å, c = 4.4293 Å
α = 90.00°, β = 90.00°, γ = 90.00°
Last column: magnetic moment on the atom in μB.
Element x y z (fractional)
Cr 0.0000 0.0000 0.5000  2.43
Cr 0.5000 0.0000 0.0000  2.12
As 0.0000 0.0000 0.0000  -0.07
Os 0.5000 0.5000 0.5000  0.93
Cu 0.0000 0.5000 0.0000  0.07

Properties
Total magnetization   1.16 μB per atom
DOS at the Fermi energy   5.13 states/eV per cell
Calculated formation energy   1.33 eV per atom

No. 4
Crystalline PrHoSe3 at its relaxed geometry. Source: the Alexandria database, functional PBE-GGA.

a = 4.1342 Å, b = 8.1692 Å, c = 8.3154 Å
α = 95.01°, β = 90.00°, γ = 90.00°
Element x y z (fractional)
Pr 0.2500 0.3777 0.2282
Pr 0.7500 0.6223 0.7718
Ho 0.2500 0.8532 0.3268
Ho 0.7500 0.1468 0.6732
Se 0.7500 0.6257 0.3898
Se 0.2500 0.3743 0.6102
Se 0.7500 0.3136 0.9736
Se 0.2500 0.9015 0.6798
Se 0.2500 0.6864 0.0264
Se 0.7500 0.0985 0.3202

Properties
Energy relative to the elements, uncorrected   -1.875 eV/atom
Total magnetization   0.00 μB per atom
Distance to the lowest polymorph of the same formula   6 kJ/mol of formula units

Number 1 is which compound? PaInPd2

Please write out number 2 again, unchanged.
Crystalline Sm2U2PaRu5 at its relaxed geometry. Source: the Alexandria database, functional PBE-GGA.

a = 3.6279 Å, b = 10.5674 Å, c = 10.5674 Å
α = 90.00°, β = 90.00°, γ = 90.00°
Element x y z (fractional)
Sm 0.0000 0.6771 0.1771
Sm 0.0000 0.3229 0.8229
Sm 0.0000 0.1771 0.3229
Sm 0.0000 0.8229 0.6771
U 0.0000 0.1335 0.6335
U 0.0000 0.8665 0.3665
U 0.0000 0.6335 0.8665
U 0.0000 0.3665 0.1335
Pa 0.0000 0.0000 0.0000
Pa 0.0000 0.5000 0.5000
Ru 0.5000 0.1994 0.0512
Ru 0.5000 0.8006 0.9488
Ru 0.5000 0.0512 0.8006
Ru 0.5000 0.6994 0.4488
Ru 0.5000 0.9488 0.1994
Ru 0.5000 0.3006 0.5512
Ru 0.5000 0.5512 0.6994
Ru 0.5000 0.4488 0.3006
Ru 0.5000 0.5000 0.0000
Ru 0.5000 0.0000 0.5000

Properties
Total magnetization   0.00 μB per atom
DOS at the Fermi energy   21.01 states/eV per cell
Calculated formation energy   -0.30 eV per atom